# 1
First-principles (meta-GGA SCAN) data for Li4Mn2Co3Cu3O16 at its PBEsol-relaxed geometry, as listed in Alexandria via LeMat-Bulk.

Cell lengths 10.0497, 5.5670, 9.0656 Å; angles 90.00, 93.38, 90.00 degrees
With the nearest neighbours (Å) after each atom.
Space group Cm (No. 8)
Asymmetric unit:
Li: 0.0000 0.0000 0.0000 [2 per cell]  4 O 1.78-1.91
Li: 0.0090 0.0000 0.5063 [2 per cell]  4 O 1.75-1.89
Li: 0.1564 0.5000 0.9086 [2 per cell]  4 O 1.88-1.91
Li: 0.3433 0.0000 0.4042 [2 per cell]  4 O 1.90-2.01
Mn: 0.1775 0.5000 0.4993 [2 per cell]  6 O 1.78-1.97
Mn: 0.3259 0.0000 0.0005 [2 per cell]  6 O 1.86-1.99
Co: 0.0896 0.2550 0.2224 [4 per cell]  6 O 1.81-1.96
Co: 0.1776 0.0000 0.7220 [2 per cell]  6 O 1.80-1.92
Cu: 0.3355 0.5000 0.2208 [2 per cell]  6 O 1.95-1.99
Cu: 0.4183 0.2476 0.7222 [4 per cell]  4 O 1.84-1.93
O: 0.0153 0.0000 0.3137 [2 per cell]  1 Li 1.75, 2 Co 1.83, 1 Cu 1.95
O: 0.0158 0.0000 0.8058 [2 per cell]  1 Li 1.78, 1 Co 1.83, 2 Cu 1.85
O: 0.0294 0.5000 0.3468 [2 per cell]  2 Co 1.89, 1 Mn 1.97, 1 Li 1.97
O: 0.1103 0.2526 0.5943 [4 per cell]  1 Mn 1.78, 1 Li 1.89, 1 Co 1.92
O: 0.1588 0.5000 0.1196 [2 per cell]  2 Co 1.81, 1 Li 1.91, 1 Cu 1.95
O: 0.1662 0.0000 0.1141 [2 per cell]  1 Li 1.91, 2 Co 1.91, 1 Mn 1.96
O: 0.2418 0.2781 0.3499 [4 per cell]  1 Co 1.87, 1 Li 1.90, 1 Mn 1.97, 1 Cu 1.98
O: 0.2443 0.2133 0.8655 [4 per cell]  1 Co 1.86, 1 Mn 1.86, 1 Li 1.88
O: 0.3286 0.0000 0.6249 [2 per cell]  1 Co 1.80, 2 Cu 1.84
O: 0.3456 0.5000 0.5957 [2 per cell]  1 Mn 1.86, 1 Li 1.87, 2 Cu 1.93
O: 0.4212 0.2470 0.1028 [4 per cell]  1 Mn 1.89, 1 Li 1.89, 1 Co 1.96, 1 Cu 1.99
O: 0.4707 0.0000 0.8605 [2 per cell]  1 Li 1.89, 2 Cu 1.92, 1 Mn 1.99

Output
- Uncorrected formation energy: -1.51 eV/atom
- M_tot: 0.04 μB per formula unit
- Calculated total energy: -10.197 eV per atom
- Mass density: 5.0 g cm⁻³


# 2
First-principles (meta-GGA SCAN) data for CdWSe at its PBEsol-relaxed geometry, as listed in Alexandria via LeMat-Bulk.

Cell lengths 3.0571, 3.0571, 12.0384 Å; angles 90.00, 90.00, 90.00 degrees
With the nearest neighbours (Å) after each atom.
Space group I4mm (No. 107)
Asymmetric unit:
Cd: 0.0000 0.0000 0.0000 [2 per cell]  4 W 2.93, 4 Cd 3.06
W: 0.0000 0.0000 0.3363 [2 per cell]  4 Se 2.58
Se: 0.0000 0.0000 0.7196 [2 per cell]  4 W 2.58

Output
- Uncorrected formation energy: 0.29 eV/atom
- Excess energy over the best structure of this formula in the dataset: 0 meV/atom
- M_tot: 0.00 μB per formula unit
- Calculated total energy: -39.770 eV per atom
- Mass density: 11.1 g cm⁻³


# 3
First-principles (meta-GGA SCAN) data for BaCa2Pt at its PBEsol-relaxed geometry, as listed in Alexandria via LeMat-Bulk.

Cell lengths 6.5404, 11.4888, 3.9543 Å; angles 90.00, 124.65, 90.00 degrees
With the nearest neighbours (Å) after each atom.
Space group C2/m (No. 12)
Asymmetric unit:
Ba: 0.0000 0.0000 0.0000 [2 per cell]  4 Pt 3.27-3.41, 4 Ca 3.34
Ca: 0.2500 0.2500 0.5000 [4 per cell]  4 Ca 3.27-3.41, 2 Ba 3.34, 2 Pt 3.34
Pt: 0.0000 0.5000 0.0000 [2 per cell]  4 Ba 3.27-3.41, 4 Ca 3.34

Output
- Excess energy over the best structure of this formula in the dataset: 531 meV/atom
- M_tot: 0.00 μB per formula unit
- Calculated total energy: -32.274 eV per atom
- Energy of formation: -7 meV/atom
- Mass density: 5.6 g cm⁻³


# 4
First-principles (meta-GGA SCAN) data for SrGaAsS2 at its PBEsol-relaxed geometry, as listed in Alexandria via LeMat-Bulk.

Cell lengths 5.0163, 5.0163, 4.7378 Å; angles 90.00, 90.00, 90.00 degrees
With the nearest neighbours (Å) after each atom.
Space group P4/mmm (No. 123)
Asymmetric unit:
Sr: 0.0000 0.0000 0.0000 [1 per cell]  8 S 3.45, 4 Ga 3.55
Ga: 0.5000 0.5000 0.0000 [1 per cell]  2 As 2.37
As: 0.5000 0.5000 0.5000 [1 per cell]  2 Ga 2.37, 4 S 2.51
S: 0.0000 0.5000 0.5000 [2 per cell]  2 As 2.51

Output
- Uncorrected formation energy: -0.50 eV/atom
- M_tot: 0.00 μB per formula unit
- Calculated total energy: -16.112 eV per atom
- Mass density: 4.1 g cm⁻³


# 5
First-principles (meta-GGA SCAN) data for NaCaNO2 at its PBEsol-relaxed geometry, as listed in Alexandria via LeMat-Bulk.

Cell lengths 4.1296, 4.1296, 4.1071 Å; angles 90.00, 90.00, 90.00 degrees
With the nearest neighbours (Å) after each atom.
Space group P4/mmm (No. 123)
Asymmetric unit:
Na: 0.0000 0.0000 0.0000 [1 per cell]  2 N 2.05, 4 O 2.06
Ca: 0.5000 0.5000 0.5000 [1 per cell]  8 O 2.91, 4 N 2.92
N: 0.0000 0.0000 0.5000 [1 per cell]  2 Na 2.05
O: 0.0000 0.5000 0.0000 [2 per cell]  2 Na 2.06

Output
- Uncorrected formation energy: -0.20 eV/atom
- M_tot: 4.00 μB per formula unit
- Calculated total energy: -7.321 eV per atom
- Mass density: 2.6 g cm⁻³


# 6
First-principles (meta-GGA SCAN) data for BaCaTc2 at its PBEsol-relaxed geometry, as listed in Alexandria via LeMat-Bulk.

Cell lengths 3.2283, 3.2283, 9.3684 Å; angles 90.00, 90.11, 90.00 degrees
With the nearest neighbours (Å) after each atom.
Space group Pm (No. 6)
Asymmetric unit:
Ba: 0.0000 0.0000 0.0000 [1 per cell]  4 Ba 3.23, 5 Tc 3.39-3.61
Ca: 0.5040 0.5000 0.6112 [1 per cell]  5 Tc 3.11-3.22, 4 Ca 3.23
Tc: 0.0026 0.0000 0.3853 [1 per cell]  4 Tc 2.53
Tc: 0.5018 0.5000 0.2679 [1 per cell]  4 Tc 2.53

Output
- Excess energy over the best structure of this formula in the dataset: 0 meV/atom
- M_tot: 0.00 μB per formula unit
- Calculated total energy: -29.442 eV per atom
- Energy of formation: 392 meV/atom
- Mass density: 6.4 g cm⁻³


# 7
First-principles (meta-GGA SCAN) data for VZn2P2O9 at its PBEsol-relaxed geometry, as listed in Alexandria via LeMat-Bulk.

Cell lengths 8.9002, 8.9002, 9.1148 Å; angles 90.00, 90.00, 90.00 degrees
With the nearest neighbours (Å) after each atom.
Space group I4cm (No. 108)
Asymmetric unit:
V: 0.0000 0.0000 0.0000 [4 per cell]  1 O 1.59
Zn: 0.1188 0.3812 0.1621 [8 per cell]  3 O 1.88-2.01
P: 0.1934 0.3066 0.5165 [8 per cell]  4 O 1.49-1.57
O: 0.0000 0.0000 0.3256 [4 per cell]  1 V 1.59
O: 0.1047 0.3953 0.6345 [8 per cell]  1 P 1.55
O: 0.1344 0.1728 0.0500 [16 per cell]  1 P 1.57
O: 0.1492 0.3508 0.3644 [8 per cell]  1 P 1.49

Output
- Uncorrected formation energy: -2.30 eV/atom
- M_tot: 1.00 μB per formula unit
- Calculated total energy: -10.975 eV per atom
- Mass density: 3.6 g cm⁻³


# 8
First-principles (meta-GGA SCAN) data for CrNiTeI2 at its PBEsol-relaxed geometry, as listed in Alexandria via LeMat-Bulk.

Cell lengths 5.1481, 5.1481, 5.0517 Å; angles 90.00, 90.00, 90.00 degrees
With the nearest neighbours (Å) after each atom.
Space group P4/mmm (No. 123)
Asymmetric unit:
Cr: 0.0000 0.0000 0.0000 [1 per cell]  8 I 3.61, 4 Te 3.64
Ni: 0.5000 0.5000 0.5000 [1 per cell]  2 Te 2.53, 4 I 2.57
Te: 0.5000 0.5000 0.0000 [1 per cell]  2 Ni 2.53
I: 0.0000 0.5000 0.5000 [2 per cell]  2 Ni 2.57

Output
- Uncorrected formation energy: 0.40 eV/atom
- M_tot: 4.10 μB per formula unit
- Calculated total energy: -28.654 eV per atom
- Mass density: 6.1 g cm⁻³